# PBEsol Ta2Be2Cu, optimized geometry
data_Ta2Be2Cu
_chemical_formula_sum 'Ta4 Be4 Cu2'
_space_group_name_H-M_alt 'P 4/m b m'
_space_group_IT_number 127
_space_group_name_Hall '-P 4 2ab'
_cell_length_a 5.8751
_cell_length_b 5.8751
_cell_length_c 3.6074
_cell_angle_alpha 90.00
_cell_angle_beta 90.00
_cell_angle_gamma 90.00
loop_
_atom_site_label
_atom_site_fract_x
_atom_site_fract_y
_atom_site_fract_z
Ta1 0.1701 0.3299 0.0000
Be1 0.1281 0.6281 0.5000
Cu1 0.0000 0.0000 0.5000
# **D(E_F)**: 4.6 states/eV per cell
# **Uncorrected energy**: -7.60 eV per atom
# **Formation energy**: -0.11 eV per atom
# **Volume**: 12.452 Å³ per atom